A geometry-optimized PmMgNi2 structure. Source: Alexandria, functional PBE.

Output
- E_tot: -4.6309 eV/atom
- D(E_F): 0.592 states/eV per atom

Unit cell a=3.262 b=4.654 c=4.654 alpha=90.00 beta=90.00 gamma=90.00
Fractional coordinates of all 4 atoms:
Ni: 0.000 0.500 0.000
Ni: 0.000 0.000 0.500
Mg: 0.500 0.500 0.500
Pm: 0.500 0.000 0.000

***

A geometry-optimized PmMg2Ni structure. Source: Alexandria, functional PBE.

Output
- Polymorph energy (0 for the lowest one): 0.183 eV/atom
- E_tot: -3.4839 eV/atom
- D(E_F): 0.791 states/eV per atom

Unit cell a=3.235 b=3.235 c=8.035 alpha=90.00 beta=90.00 gamma=90.00
Fractional coordinates of all 4 atoms:
Mg: 0.000 0.000 0.821
Pm: 0.500 0.500 0.500
Mg: 0.000 0.000 0.179
Ni: 0.500 0.500 0.000

***

A geometry-optimized PmMg2Ni2 structure. Source: Alexandria, functional PBE.

Output
- E_tot: -4.1360 eV/atom
- D(E_F): 0.673 states/eV per atom

Unit cell a=3.945 b=5.198 c=5.391 alpha=102.97 beta=111.46 gamma=90.00
Fractional coordinates of all 5 atoms:
Mg: 0.344 0.423 0.687
Ni: 0.720 0.104 0.441
Ni: 0.280 0.896 0.559
Pm: 0.000 0.000 0.000
Mg: 0.656 0.577 0.313

***

A geometry-optimized Pm3Mg2Ni3 structure. Source: Alexandria, functional PBE.

Output
- Polymorph energy (0 for the lowest one): 0.077 eV/atom
- E_tot: -4.5306 eV/atom
- D(E_F): 0.734 states/eV per atom

Unit cell a=3.399 b=4.943 c=10.638 alpha=103.43 beta=99.19 gamma=90.00
Fractional coordinates of all 8 atoms:
Pm: 0.382 0.382 0.764
Pm: 0.618 0.618 0.236
Pm: 0.500 0.000 0.000
Mg: 0.274 0.774 0.547
Mg: 0.726 0.226 0.453
Ni: 0.120 0.120 0.240
Ni: 0.880 0.880 0.760
Ni: 0.000 0.500 0.000

***

A geometry-optimized Pm2MgNi structure. Source: Alexandria, functional PBE.

Output
- Polymorph energy (0 for the lowest one): 0.596 eV/atom
- E_tot: -3.8014 eV/atom
- D(E_F): 1.241 states/eV per atom

Unit cell a=3.333 b=3.333 c=10.998 alpha=81.28 beta=81.28 gamma=60.00
Fractional coordinates of all 4 atoms:
Ni: 0.000 0.000 0.000
Pm: 0.079 0.079 0.764
Pm: 0.921 0.921 0.236
Mg: 0.500 0.500 0.500

***

A geometry-optimized PmMgNi structure. Source: Alexandria, functional PBE.

Output
- Polymorph energy (0 for the lowest one): 0.202 eV/atom
- E_tot: -4.1202 eV/atom
- D(E_F): 1.152 states/eV per atom

Unit cell a=3.752 b=4.505 c=4.505 alpha=120.00 beta=90.00 gamma=90.00
Fractional coordinates of all 3 atoms:
Mg: 0.167 0.333 0.667
Ni: 0.166 0.000 0.000
Pm: 0.667 0.667 0.333

***

A geometry-optimized Pm12MgNi7 structure. Source: Alexandria, functional PBE.

Output
- E_tot: -5.1181 eV/atom
- D(E_F): 1.168 states/eV per atom

Unit cell a=8.885 b=8.885 c=8.885 alpha=110.34 beta=110.34 gamma=110.34
Fractional coordinates of all 20 atoms:
Pm: 0.263 0.116 0.659
Pm: 0.116 0.659 0.263
Pm: 0.594 0.890 0.680
Pm: 0.110 0.320 0.406
Pm: 0.884 0.341 0.737
Pm: 0.890 0.680 0.594
Ni: 0.071 0.739 0.974
Ni: 0.929 0.261 0.026
Pm: 0.406 0.110 0.320
Mg: 0.000 0.000 0.000
Ni: 0.974 0.071 0.739
Pm: 0.659 0.263 0.116
Pm: 0.320 0.406 0.110
Pm: 0.680 0.594 0.890
Pm: 0.737 0.884 0.341
Ni: 0.026 0.929 0.261
Pm: 0.341 0.737 0.884
Ni: 0.261 0.026 0.929
Ni: 0.500 0.500 0.500
Ni: 0.739 0.974 0.071

***

A geometry-optimized Pm3Mg2Ni3 structure. Source: Alexandria, functional PBE.

Output
- Polymorph energy (0 for the lowest one): 0.000 eV/atom
- E_tot: -4.6072 eV/atom
- D(E_F): 0.738 states/eV per atom

Unit cell a=5.773 b=8.259 c=8.259 alpha=120.00 beta=90.00 gamma=90.00
Fractional coordinates of all 16 atoms:
Pm: 0.250 0.727 0.000
Pm: 0.250 0.273 0.273
Pm: 0.250 0.000 0.727
Ni: 0.250 0.000 0.395
Ni: 0.750 0.605 0.000
Ni: 0.250 0.605 0.605
Pm: 0.750 0.727 0.727
Ni: 0.750 0.000 0.605
Ni: 0.750 0.395 0.395
Mg: 0.000 0.667 0.333
Mg: 0.500 0.333 0.667
Pm: 0.750 0.000 0.273
Ni: 0.250 0.395 0.000
Pm: 0.750 0.273 0.000
Mg: 0.500 0.667 0.333
Mg: 0.000 0.333 0.667